Record 1
AcSc2Sn | the Alexandria database | PBE-GGA | optimized geometry; density of states at the Fermi level = 7.082 states/eV/f.u.; formation enthalpy at 0 K = -162 meV/atom; calculated volume = 26.33 Å³/atom
1.0
0.000 3.748 3.748
3.748 0.000 3.748
3.748 3.748 0.000
Ac Sc Sn
1 2 1
Direct
0.000 0.000 0.000
0.250 0.250 0.250
0.750 0.750 0.750
0.500 0.500 0.500

=====

Record 2
Ac5ScSn5 | the Alexandria database | PBE-GGA | optimized geometry; density of states at the Fermi level = 8.541 states/eV/f.u.; formation enthalpy at 0 K = -453 meV/atom; calculated volume = 36.41 Å³/atom
1.0
8.489 -3.210 0.000
8.489 3.210 0.000
-2.318 0.000 7.349
Ac Sc Sn
5 1 5
Direct
0.000 0.000 0.000
0.310 0.310 0.221
0.358 0.358 0.738
0.642 0.642 0.262
0.690 0.690 0.779
0.000 0.000 0.500
0.158 0.158 0.831
0.159 0.159 0.427
0.500 0.500 0.500
0.841 0.841 0.573
0.842 0.842 0.169

=====

Record 3
Ac3ScSn12 | the Alexandria database | PBE-GGA | optimized geometry; density of states at the Fermi level = 8.210 states/eV/f.u.; formation enthalpy at 0 K = -451 meV/atom; calculated volume = 28.47 Å³/atom
1.0
4.880 0.000 0.000
0.000 4.880 0.000
0.000 0.000 19.129
Ac Sc Sn
3 1 12
Direct
0.000 0.000 0.000
0.000 0.000 0.260
0.000 0.000 0.740
0.000 0.000 0.500
0.000 0.500 0.130
0.000 0.500 0.390
0.000 0.500 0.610
0.000 0.500 0.870
0.500 0.000 0.130
0.500 0.000 0.390
0.500 0.000 0.610
0.500 0.000 0.870
0.500 0.500 0.000
0.500 0.500 0.260
0.500 0.500 0.500
0.500 0.500 0.740

=====

Record 4
Ac3ScSn6 | the Alexandria database | PBE-GGA | optimized geometry; density of states at the Fermi level = 7.369 states/eV/f.u.; formation enthalpy at 0 K = -603 meV/atom; calculated volume = 31.14 Å³/atom
1.0
6.458 3.729 4.310
-6.458 3.729 4.310
0.000 -7.457 4.310
Ac Sc Sn
6 2 12
Direct
0.180 0.750 0.320
0.250 0.680 0.820
0.320 0.180 0.750
0.680 0.820 0.250
0.750 0.320 0.180
0.820 0.250 0.680
0.000 0.000 0.000
0.500 0.500 0.500
0.015 0.089 0.358
0.089 0.358 0.015
0.142 0.411 0.485
0.358 0.015 0.089
0.411 0.485 0.142
0.485 0.142 0.411
0.515 0.858 0.589
0.589 0.515 0.858
0.642 0.985 0.911
0.858 0.589 0.515
0.911 0.642 0.985
0.985 0.911 0.642